Record 1
This record from Alexandria describes a relaxed structure of Pm5DyHo. The functional is PBE-GGA.

It has space group Immm (No. 71), with a = 5.8811 Å, b = 8.7830 Å, c = 12.0962 Å, α = 90.00°, β = 90.00° and γ = 90.00°. The asymmetric unit holds Pm at (0.0000, 0.0000, 0.0000), Pm at (0.0000, 0.1771, 0.5000), Pm at (0.0000, 0.5000, 0.2522), Dy at (0.0000, 0.5000, 0.0000) and Ho at (0.0000, 0.5000, 0.5000).

The value obtained for the formation energy is 1.007 eV per atom. The calculation puts the density of states at the Fermi level at 11.817 states/eV/f.u.

---

Record 2
This record from Alexandria describes a relaxed structure of Pm6Dy7Ho16. The functional is PBE-GGA.

It has space group Fm-3m (No. 225), with a = 15.7399 Å, b = 15.7399 Å, c = 15.7399 Å, α = 90.00°, β = 90.00° and γ = 90.00°. The asymmetric unit holds Pm at (0.0000, 0.0000, 0.2265), Dy at (0.0000, 0.0000, 0.5000), Dy at (0.0000, 0.2500, 0.2500), Ho at (0.1258, 0.1258, 0.3742) and Ho at (0.1512, 0.1512, 0.1512).

The value obtained for the formation energy is 0.241 eV per atom. The calculation puts the density of states at the Fermi level at 58.702 states/eV/f.u.

---

Record 3
This record from Alexandria describes a relaxed structure of Pm2Dy7Ho. The functional is PBE-GGA.

It has space group Cmmm (No. 65), with a = 6.4933 Å, b = 28.7932 Å, c = 3.5085 Å, α = 90.00°, β = 90.00° and γ = 90.00°. The asymmetric unit holds Pm at (0.0000, 0.2075, 0.0000), Dy at (0.0000, 0.0000, 0.0000), Dy at (0.0000, 0.3148, 0.5000), Dy at (0.2460, 0.4021, 0.0000) and Ho at (0.0000, 0.5000, 0.5000).

The value obtained for the formation energy is 0.158 eV per atom. The calculation puts the density of states at the Fermi level at 15.525 states/eV/f.u.

---

Record 4
This record from Alexandria describes a relaxed structure of Pm5Dy2Ho2. The functional is PBE-GGA.

It has space group Ima2 (No. 46), with a = 15.1002 Å, b = 12.8567 Å, c = 6.2023 Å, α = 90.00°, β = 90.00° and γ = 90.00°. The asymmetric unit holds Pm at (0.0486, 0.2004, 0.0000), Pm at (0.1439, 0.6855, 0.8387), Pm at (0.2500, 0.1775, 0.7502), Dy at (0.0000, 0.0000, 0.4061), Dy at (0.2500, 0.0555, 0.2769) and Ho at (0.1349, 0.5492, 0.3442).

The value obtained for the energy above the most stable polymorph in this dataset is 0.1566 eV per atom. The value obtained for the formation energy is 0.173 eV per atom. The calculation puts the density of states at the Fermi level at 11.896 states/eV/f.u.

---

Energy for every record listed, in sequence, given in eV per atom: -3.6981 -4.3781 -4.4714 -4.5059.